Record 1
## LaSbRu2 (PBE-GGA)

Data for an optimized crystal structure of LaSbRu2.

extended XYZ file:
```
4
Lattice="3.3815 0.0000 0.0000 0.0000 4.2666 0.0000 0.0000 0.0000 5.5955" Properties=species:S:1:pos:R:3 pbc="T T T"
La 0.0000 0.0000 0.0000
Sb 1.6907 2.1333 3.6187
Ru 0.0000 0.0000 2.7628
Ru 1.6907 2.1333 0.9992
```

Summary:
Formation energy without anion corrections (meV per atom): 20
D(E_F) (states/eV/f.u.): 4.1
Space group: Pmm2

---

Record 2
## LaSbRu2 (PBE-GGA)

Data for an optimized crystal structure of LaSbRu2.

extended XYZ file:
```
4
Lattice="3.3036 0.0000 0.0000 0.0000 3.3036 0.0000 0.0000 0.0000 7.2020" Properties=species:S:1:pos:R:3 pbc="T T T"
La 0.0000 0.0000 0.0000
Sb 0.0000 0.0000 3.6010
Ru 1.6518 1.6518 2.1252
Ru 1.6518 1.6518 5.0768
```

Summary:
Formation energy without anion corrections (meV per atom): -48
D(E_F) (states/eV/f.u.): 3.1
Space group: P4/mmm

---

Record 3
## LaSb2Ru (PBE-GGA)

Data for an optimized crystal structure of LaSb2Ru.

extended XYZ file:
```
4
Lattice="3.4042 0.0000 0.0000 0.0000 3.4042 0.0000 0.0000 0.0000 7.8663" Properties=species:S:1:pos:R:3 pbc="T T T"
La 0.0000 0.0000 0.0000
Sb 1.7021 1.7021 2.3610
Sb 1.7021 1.7021 5.5052
Ru 0.0000 0.0000 3.9331
```

Summary:
Formation energy without anion corrections (meV per atom): -305
D(E_F) (states/eV/f.u.): 3.7
Space group: P4/mmm

---

Record 4
## La2SbRu (PBE-GGA)

Data for an optimized crystal structure of La2SbRu.

extended XYZ file:
```
4
Lattice="-1.8082 2.4321 6.0919 1.8082 -2.4321 6.0919 1.8082 2.4321 -6.0919" Properties=species:S:1:pos:R:3 pbc="T T T"
La 0.0000 0.0000 0.0000
La 0.0000 2.4321 2.5621
Sb 0.0000 0.0000 4.8420
Ru 1.8082 0.0000 2.7532
```

Summary:
Formation energy without anion corrections (meV per atom): -527
D(E_F) (states/eV/f.u.): 2.7
Space group: Imm2

---

Record 5
## LaSbRu2 (PBE-GGA)

Data for an optimized crystal structure of LaSbRu2.

extended XYZ file:
```
4
Lattice="1.5799 0.9122 9.4507 -1.5799 0.9122 9.4507 0.0000 -1.8244 9.4507" Properties=species:S:1:pos:R:3 pbc="T T T"
La 0.0000 0.0000 0.0000
Sb 0.0000 0.0000 6.4931
Ru 0.0000 0.0000 13.8951
Ru 0.0000 0.0000 21.4143
```

Summary:
Formation energy without anion corrections (meV per atom): 417
D(E_F) (states/eV/f.u.): 7.2
Space group: R3m

---

Record 6
## La2SbRu (PBE-GGA)

Data for an optimized crystal structure of La2SbRu.

extended XYZ file:
```
4
Lattice="0.0000 3.6364 3.6364 3.6364 0.0000 3.6364 3.6364 3.6364 0.0000" Properties=species:S:1:pos:R:3 pbc="T T T"
La 0.0000 0.0000 0.0000
La 1.8182 1.8182 1.8182
Sb 3.6364 3.6364 3.6364
Ru 5.4547 5.4547 5.4547
```

Summary:
Formation energy without anion corrections (meV per atom): -270
D(E_F) (states/eV/f.u.): 3.1
Space group: F-43m

---

Which value of formation energy without anion corrections does entry 1 give?
20 meV per atom

---

Which of these has the highest formation energy without anion corrections?
number 5

---

Look up the formation energy without anion corrections of the fifth one.
417 meV per atom